Density functional theory data (GGA-PBE) for a relaxed structure of NaHfBH2.

Cell and atoms, written as POSCAR:
```
NaHfBH2
1.0
-2.4906 3.1625 -0.0838
-3.4591 -2.7240 0.0055
-0.0479 0.0689 4.0255
H Hf B Na
2 1 1 1
Direct
0.0000 0.0000 0.5000
0.5000 0.0000 0.0000
0.0000 0.5000 0.0000
0.0000 0.0000 0.0000
0.5000 0.5000 0.5000
```

Output
Raw total energy: -3.6447 eV per atom

Density functional theory data (GGA-PBE) for a relaxed structure of ThMgAlIn.

Cell and atoms, written as POSCAR:
```
ThMgAlIn
1.0
-2.2085 -3.8077 -2.7519
2.8342 -4.0651 -1.5463
-0.7538 -4.6610 2.1577
In Al Th Mg
1 1 1 1
Direct
0.7500 0.7500 0.7500
0.2500 0.2500 0.2500
0.5000 0.5000 0.5000
0.0000 0.0000 0.0000
```

Output
Energy of formation: -0.41 eV/f.u.
Raw total energy: -3.9772 eV per atom

Density functional theory data (GGA-PBE) for a relaxed structure of GeAu5.

Cell and atoms, written as POSCAR:
```
GeAu5
1.0
3.9590 0.0000 0.0000
0.0000 4.3277 0.0000
0.0000 -2.1638 6.3990
Au Ge
5 1
Direct
0.0000 0.3329 0.6658
0.5000 0.1651 0.3303
0.0000 0.6671 0.3342
0.5000 0.8349 0.6697
0.5000 0.5000 0.0000
0.0000 0.0000 0.0000
```

Output
Energy of formation: 0.35 eV/f.u.
Raw total energy: -3.4427 eV per atom

Repeat the first record exactly.
Density functional theory data (GGA-PBE) for a relaxed structure of NaHfBH2.

Cell and atoms, written as POSCAR:
```
NaHfBH2
1.0
-2.4906 3.1625 -0.0838
-3.4591 -2.7240 0.0055
-0.0479 0.0689 4.0255
H Hf B Na
2 1 1 1
Direct
0.0000 0.0000 0.5000
0.5000 0.0000 0.0000
0.0000 0.5000 0.0000
0.0000 0.0000 0.0000
0.5000 0.5000 0.5000
```

Output
Raw total energy: -3.6447 eV per atom